1.
Material: Ca2Dy3Sb3O14
Method: DFT, PBE
State: relaxed

Cell lengths 7.490, 7.490, 10.453 Å; angles 89.52, 89.52, 90.12 degrees
Fractional positions:
Sb (0.000, 0.000, 0.000)
O (0.500, 0.753, 0.424)
Sb (0.000, 0.000, 0.500)
O (0.036, 0.183, 0.358)
Dy (0.742, 0.752, 0.775)
Sb (0.000, 0.500, 0.000)
O (0.023, 0.787, 0.386)
O (0.459, 0.313, 0.868)
Ca (0.269, 0.731, 0.250)
O (0.247, 0.500, 0.076)
Sb (0.500, 0.500, 0.500)
O (0.986, 0.250, 0.069)
Dy (0.769, 0.231, 0.250)
O (0.213, 0.977, 0.114)
O (0.290, 0.539, 0.618)
Ca (0.731, 0.269, 0.750)
O (0.539, 0.290, 0.118)
O (0.787, 0.023, 0.886)
Dy (0.231, 0.769, 0.750)
O (0.455, 0.077, 0.323)
Dy (0.258, 0.248, 0.225)
O (0.461, 0.710, 0.882)
O (0.710, 0.461, 0.382)
Dy (0.248, 0.258, 0.725)
O (0.753, 0.500, 0.924)
O (0.313, 0.459, 0.368)
O (0.687, 0.541, 0.632)
Sb (0.500, 0.500, 0.000)
Ca (0.000, 0.500, 0.500)
Dy (0.752, 0.742, 0.275)
O (0.014, 0.750, 0.931)
O (0.923, 0.545, 0.177)
Ca (0.500, 0.000, 0.000)
O (0.500, 0.247, 0.576)
O (0.077, 0.455, 0.823)
Sb (0.500, 0.000, 0.500)
O (0.817, 0.964, 0.142)
O (0.541, 0.687, 0.132)
O (0.750, 0.014, 0.431)
O (0.964, 0.817, 0.642)
O (0.977, 0.213, 0.614)
O (0.183, 0.036, 0.858)
O (0.250, 0.986, 0.569)
O (0.545, 0.923, 0.677)

## Properties
SG	C2/c
VASP energy	-7.087	eV per atom
formation energy (no corrections)	-2.560	eV per atom

2.
Material: Ti3H3Pb
Method: DFT, PBE
State: relaxed

Cell lengths 5.710, 5.710, 7.308 Å; angles 67.01, 67.01, 60.00 degrees
Fractional positions:
H (0.126, 0.470, 0.624)
Ti (0.574, 0.885, 0.341)
Ti (0.885, 0.200, 0.341)
Ti (0.800, 0.426, 0.659)
H (0.780, 0.126, 0.624)
Pb (0.334, 0.334, 0.999)
Ti (0.115, 0.800, 0.659)
Ti (0.426, 0.115, 0.659)
H (0.220, 0.874, 0.376)
Pb (0.666, 0.666, 0.001)
H (0.874, 0.530, 0.376)
H (0.470, 0.780, 0.624)
Ti (0.200, 0.574, 0.341)
H (0.530, 0.220, 0.376)

## Properties
SG	R-3
VASP energy	-5.499	eV per atom
E above lowest polymorph	211.7	meV/atom

3.
Material: TiZnReC2
Method: DFT, PBE
State: relaxed

Cell lengths 3.817, 4.926, 3.817 Å; angles 90.00, 90.00, 90.00 degrees
Fractional positions:
Re (0.000, 0.500, 0.000)
C (0.500, 0.000, 0.000)
C (0.000, 0.000, 0.500)
Zn (0.000, 0.000, 0.000)
Ti (0.500, 0.500, 0.500)

## Properties
SG	P4/mmm
VASP energy	-5.659	eV per atom

4.
Material: Ca2Ag2BiPd5
Method: DFT, PBE
State: relaxed

Cell lengths 4.070, 9.872, 9.872 Å; angles 90.00, 90.00, 90.00 degrees
Fractional positions:
Pd (0.500, 0.297, 0.563)
Pd (0.500, 0.063, 0.797)
Ag (0.000, 0.873, 0.373)
Pd (0.500, 0.500, 0.000)
Ca (0.000, 0.671, 0.171)
Pd (0.500, 0.937, 0.203)
Pd (0.500, 0.437, 0.297)
Ca (0.000, 0.829, 0.671)
Ag (0.000, 0.627, 0.873)
Ca (0.000, 0.329, 0.829)
Ag (0.000, 0.373, 0.127)
Ca (0.000, 0.171, 0.329)
Pd (0.500, 0.797, 0.937)
Bi (0.000, 0.000, 0.000)
Pd (0.500, 0.203, 0.063)
Pd (0.500, 0.703, 0.437)
Ag (0.000, 0.127, 0.627)
Pd (0.500, 0.000, 0.500)
Bi (0.000, 0.500, 0.500)
Pd (0.500, 0.563, 0.703)

## Properties
SG	P4/mbm
VASP energy	-4.393	eV per atom

5.
Material: BeCu2P
Method: DFT, PBE
State: relaxed

Cell lengths 2.521, 2.521, 7.373 Å; angles 90.00, 90.00, 90.03 degrees
Fractional positions:
Be (0.500, 0.500, 0.750)
P (0.500, 0.500, 0.250)
Cu (0.000, 0.000, 0.962)
Cu (0.000, 0.000, 0.538)

## Properties
SG	P4/mmm
VASP energy	-4.187	eV per atom
E above lowest polymorph	104.2	meV/atom

6.
Material: TbYb3
Method: DFT, PBE
State: relaxed

Cell lengths 7.259, 7.259, 5.919 Å; angles 90.00, 90.00, 120.00 degrees
Each line ends with the local moment (μB).
Fractional positions:
Yb (0.662, 0.831, 0.250)  -0.14
Tb (0.667, 0.333, 0.250)  0.05
Yb (0.169, 0.831, 0.250)  -0.14
Yb (0.169, 0.338, 0.250)  -0.14
Yb (0.831, 0.662, 0.750)  -0.14
Tb (0.333, 0.667, 0.750)  0.05
Yb (0.831, 0.169, 0.750)  -0.14
Yb (0.338, 0.169, 0.750)  -0.14

## Properties
SG	P6_3/mmc
VASP energy	-2.370	eV per atom

7.
Material: Co2TcTe2
Method: DFT, PBE
State: relaxed

Cell lengths 4.881, 4.881, 5.110 Å; angles 61.47, 61.47, 90.00 degrees
Each line ends with the local moment (μB).
Fractional positions:
Co (0.646, 0.646, 0.708)  0.75
Co (0.354, 0.354, 0.292)  0.75
Te (0.750, 0.250, 0.500)  -0.05
Te (0.250, 0.750, 0.500)  -0.05
Tc (0.000, 0.000, 0.000)  1.65

## Properties
SG	I4/mmm
VASP energy	-5.506	eV per atom
formation energy (no corrections)	0.667	eV per atom
E above lowest polymorph	254.3	meV/atom

8.
Material: CePmDy2Er5
Method: DFT, PBE
State: relaxed

Cell lengths 5.661, 11.048, 9.543 Å; angles 90.00, 90.00, 104.84 degrees
Each line ends with the local moment (μB).
Fractional positions:
Er (0.471, 0.943, 0.745)  0.03
Er (0.266, 0.532, 0.335)  -0.04
Ce (0.195, 0.391, 0.022)  -0.60
Er (0.307, 0.615, 0.717)  -0.05
Dy (0.887, 0.774, 0.822)  -0.01
Pm (0.403, 0.807, 0.424)  0.02
Ce (0.805, 0.609, 0.522)  -0.60
Dy (0.137, 0.275, 0.704)  -0.02
Er (0.606, 0.211, 0.540)  0.01
Er (0.693, 0.385, 0.217)  -0.05
Dy (0.863, 0.725, 0.204)  -0.02
Er (0.987, 0.974, 0.515)  0.01
Dy (0.113, 0.226, 0.322)  -0.01
Pm (0.597, 0.193, 0.924)  0.02
Er (0.529, 0.057, 0.245)  0.03
Er (0.734, 0.468, 0.835)  -0.04
Er (0.013, 0.026, 0.015)  0.01
Er (0.394, 0.789, 0.040)  0.01

## Properties
SG	Cmc2_1
VASP energy	-4.570	eV per atom